[1]
Density functional theory data (PBE) for a relaxed Sm6Hg3O crystal.

crystal system: monoclinic
energy relative to the elements, uncorrected: -7.6 eV per formula unit

a = 6.5719 Å, b = 8.1284 Å, c = 11.8552 Å
α = 90.00°, β = 119.97°, γ = 90.00°
Sites, in units of the cell vectors:
Sm 0.0700 0.0520 0.2266
Sm 0.0700 0.4480 0.7266
Sm 0.1833 0.7230 0.0639
Sm 0.1833 0.7770 0.5639
Sm 0.3809 0.1444 0.0508
Sm 0.3809 0.3556 0.5508
Sm 0.6191 0.6444 0.4492
Sm 0.6191 0.8556 0.9492
Sm 0.8167 0.2230 0.4361
Sm 0.8167 0.2770 0.9361
Sm 0.9300 0.5520 0.2734
Sm 0.9300 0.9480 0.7734
Hg 0.3198 0.1141 0.7333
Hg 0.3198 0.3859 0.2333
Hg 0.5000 0.0000 0.5000
Hg 0.5000 0.5000 0.0000
Hg 0.6802 0.6141 0.7667
Hg 0.6802 0.8859 0.2667
O 0.0000 0.0000 0.0000
O 0.0000 0.5000 0.5000

***

[2]
Density functional theory data (PBE) for a relaxed Sm3HgO crystal.

crystal system: cubic
energy relative to the elements, uncorrected: -6.8 eV per formula unit

a = 4.8880 Å, b = 4.8880 Å, c = 4.8880 Å
α = 90.00°, β = 90.00°, γ = 90.00°
Sites, in units of the cell vectors:
Sm 0.0000 0.0000 0.5000
Sm 0.0000 0.5000 0.0000
Sm 0.5000 0.0000 0.0000
Hg 0.5000 0.5000 0.5000
O 0.0000 0.0000 0.0000

***

[3]
Density functional theory data (PBE) for a relaxed Sm6Hg2O crystal.

crystal system: monoclinic
energy relative to the elements, uncorrected: -7.1 eV per formula unit

a = 6.6992 Å, b = 7.1350 Å, c = 12.3296 Å
α = 90.00°, β = 122.57°, γ = 90.00°
Sites, in units of the cell vectors:
Sm 0.1354 0.0051 0.2413
Sm 0.1354 0.4949 0.7413
Sm 0.2244 0.7070 0.0392
Sm 0.2244 0.7930 0.5392
Sm 0.3482 0.1963 0.0402
Sm 0.3482 0.3037 0.5402
Sm 0.6518 0.6963 0.4598
Sm 0.6518 0.8037 0.9598
Sm 0.7756 0.2070 0.4608
Sm 0.7756 0.2930 0.9608
Sm 0.8646 0.5051 0.2587
Sm 0.8646 0.9949 0.7587
Hg 0.3089 0.0807 0.7491
Hg 0.3089 0.4193 0.2491
Hg 0.6911 0.5807 0.7509
Hg 0.6911 0.9193 0.2509
O 0.0000 0.0000 0.0000
O 0.0000 0.5000 0.5000

***

[4]
Density functional theory data (PBE) for a relaxed Sm3Hg5O12 crystal.

crystal system: cubic
energy relative to the elements, uncorrected: -24.2 eV per formula unit

a = 11.6950 Å, b = 11.6950 Å, c = 11.6950 Å
α = 109.47°, β = 109.47°, γ = 109.47°
Sites, in units of the cell vectors:
Sm 0.1250 0.2500 0.3750
Sm 0.1250 0.3750 0.7500
Sm 0.2500 0.3750 0.1250
Sm 0.2500 0.8750 0.6250
Sm 0.3750 0.1250 0.2500
Sm 0.3750 0.7500 0.1250
Sm 0.6250 0.2500 0.8750
Sm 0.6250 0.8750 0.7500
Sm 0.7500 0.1250 0.3750
Sm 0.7500 0.6250 0.8750
Sm 0.8750 0.6250 0.2500
Sm 0.8750 0.7500 0.6250
Hg 0.0000 0.0000 0.0000
Hg 0.0000 0.0000 0.5000
Hg 0.0000 0.5000 0.0000
Hg 0.0000 0.5000 0.5000
Hg 0.1250 0.7500 0.8750
Hg 0.1250 0.8750 0.2500
Hg 0.2500 0.1250 0.8750
Hg 0.2500 0.6250 0.3750
Hg 0.3750 0.2500 0.6250
Hg 0.3750 0.6250 0.7500
Hg 0.5000 0.0000 0.0000
Hg 0.5000 0.0000 0.5000
Hg 0.5000 0.5000 0.0000
Hg 0.5000 0.5000 0.5000
Hg 0.6250 0.3750 0.2500
Hg 0.6250 0.7500 0.3750
Hg 0.7500 0.3750 0.6250
Hg 0.7500 0.8750 0.1250
Hg 0.8750 0.1250 0.7500
Hg 0.8750 0.2500 0.1250
O 0.0547 0.2198 0.1390
O 0.0547 0.3349 0.9157
O 0.0808 0.7198 0.6651
O 0.0808 0.8610 0.4157
O 0.0843 0.6390 0.4192
O 0.0843 0.9453 0.6651
O 0.1390 0.0547 0.2198
O 0.1390 0.5843 0.9192
O 0.1651 0.2198 0.5808
O 0.1651 0.4453 0.5843
O 0.2198 0.1390 0.0547
O 0.2198 0.5808 0.1651
O 0.2802 0.3349 0.9192
O 0.2802 0.4453 0.3610
O 0.3349 0.9157 0.0547
O 0.3349 0.9192 0.2802
O 0.3610 0.2802 0.4453
O 0.3610 0.5808 0.9157
O 0.4157 0.0808 0.8610
O 0.4157 0.8349 0.5547
O 0.4192 0.0843 0.6390
O 0.4192 0.8349 0.7802
O 0.4453 0.3610 0.2802
O 0.4453 0.5843 0.1651
O 0.5547 0.4157 0.8349
O 0.5547 0.6390 0.7198
O 0.5808 0.1651 0.2198
O 0.5808 0.9157 0.3610
O 0.5843 0.1651 0.4453
O 0.5843 0.9192 0.1390
O 0.6390 0.4192 0.0843
O 0.6390 0.7198 0.5547
O 0.6651 0.0808 0.7198
O 0.6651 0.0843 0.9453
O 0.7198 0.5547 0.6390
O 0.7198 0.6651 0.0808
O 0.7802 0.4192 0.8349
O 0.7802 0.8610 0.9453
O 0.8349 0.5547 0.4157
O 0.8349 0.7802 0.4192
O 0.8610 0.4157 0.0808
O 0.8610 0.9453 0.7802
O 0.9157 0.0547 0.3349
O 0.9157 0.3610 0.5808
O 0.9192 0.1390 0.5843
O 0.9192 0.2802 0.3349
O 0.9453 0.6651 0.0843
O 0.9453 0.7802 0.8610

***

[5]
Density functional theory data (PBE) for a relaxed Sm5Hg2O2 crystal.

crystal system: orthorhombic
energy relative to the elements, uncorrected: -13.0 eV per formula unit

a = 10.4219 Å, b = 10.4219 Å, c = 10.4219 Å
α = 56.73°, β = 140.68°, γ = 140.81°
Sites, in units of the cell vectors:
Sm 0.2503 0.0203 0.2706
Sm 0.2503 0.4797 0.7301
Sm 0.2506 0.2488 0.5018
Sm 0.6614 0.1142 0.2730
Sm 0.6614 0.8884 0.0471
Sm 0.7470 0.7488 0.4982
Sm 0.7497 0.5203 0.2699
Sm 0.7497 0.9797 0.7294
Sm 0.8412 0.3884 0.7270
Sm 0.8412 0.6142 0.9529
Hg 0.2299 0.1199 0.8517
Hg 0.2299 0.8782 0.6100
Hg 0.2682 0.3782 0.1483
Hg 0.2682 0.6199 0.3900
O 0.7213 0.5002 0.7211
O 0.7503 0.2503 0.5000
O 0.7503 0.7503 0.0000
O 0.7792 0.0002 0.2789

***

[6]
Density functional theory data (PBE) for a relaxed Sm3HgO2 crystal.

crystal system: orthorhombic
energy relative to the elements, uncorrected: -12.3 eV per formula unit

a = 6.8186 Å, b = 6.8186 Å, c = 6.8186 Å
α = 142.85°, β = 138.03°, γ = 57.28°
Sites, in units of the cell vectors:
Sm 0.0000 0.0000 0.0000
Sm 0.2709 0.7709 0.5000
Sm 0.7291 0.2291 0.5000
Hg 0.5000 0.5000 0.0000
O 0.1987 0.1987 0.0000
O 0.8013 0.8013 0.0000

***

[7]
Density functional theory data (PBE) for a relaxed Sm5Hg2O crystal.

crystal system: orthorhombic
energy relative to the elements, uncorrected: -7.0 eV per formula unit

a = 8.8685 Å, b = 6.8111 Å, c = 14.0571 Å
α = 90.00°, β = 90.00°, γ = 90.00°
Sites, in units of the cell vectors:
Sm 0.0000 0.0000 0.0000
Sm 0.0000 0.5000 0.0000
Sm 0.0602 0.2500 0.2108
Sm 0.1329 0.9998 0.6011
Sm 0.1329 0.5002 0.6011
Sm 0.2320 0.7500 0.3754
Sm 0.2680 0.2500 0.8754
Sm 0.3671 0.0002 0.1011
Sm 0.3671 0.4998 0.1011
Sm 0.4398 0.7500 0.7108
Sm 0.5000 0.0000 0.5000
Sm 0.5000 0.5000 0.5000
Sm 0.5602 0.2500 0.2892
Sm 0.6329 0.9998 0.8989
Sm 0.6329 0.5002 0.8989
Sm 0.7320 0.7500 0.1246
Sm 0.7680 0.2500 0.6246
Sm 0.8671 0.0002 0.3989
Sm 0.8671 0.4998 0.3989
Sm 0.9398 0.7500 0.7892
Hg 0.0635 0.7500 0.1900
Hg 0.2130 0.2500 0.4095
Hg 0.2870 0.7500 0.9095
Hg 0.4365 0.2500 0.6900
Hg 0.5635 0.7500 0.3100
Hg 0.7130 0.2500 0.0905
Hg 0.7870 0.7500 0.5905
Hg 0.9365 0.2500 0.8100
O 0.1860 0.2500 0.0484
O 0.3140 0.7500 0.5484
O 0.6860 0.2500 0.4516
O 0.8140 0.7500 0.9516

***

[8]
Density functional theory data (PBE) for a relaxed Sm7Hg4O crystal.

crystal system: monoclinic
energy relative to the elements, uncorrected: -7.2 eV per formula unit

a = 8.6717 Å, b = 8.6717 Å, c = 11.1359 Å
α = 127.32°, β = 127.32°, γ = 33.11°
Sites, in units of the cell vectors:
Sm 0.0000 0.0000 0.0000
Sm 0.1293 0.1293 0.5483
Sm 0.2781 0.2781 0.1476
Sm 0.4468 0.4468 0.7555
Sm 0.5532 0.5532 0.2445
Sm 0.7219 0.7219 0.8524
Sm 0.8707 0.8707 0.4517
Hg 0.0862 0.0862 0.7937
Hg 0.2246 0.2246 0.3738
Hg 0.7754 0.7754 0.6262
Hg 0.9138 0.9138 0.2063
O 0.5000 0.5000 0.0000